Entry 1:
Entry from Alexandria: an optimized crystal structure of Mg2SnAu8 (GGA-PBE).

abc: 7.9787 13.4023 5.3357
angles: 90.00 130.95 90.00
Space group C2/m (No. 12)
One atom of each set of equivalent atoms:
Mg  0.0000  0.1925  0.0000 (multiplicity 4)
Sn  0.0000  0.5000  0.5000 (multiplicity 2)
Au  0.0000  0.2820  0.5000 (multiplicity 4)
Au  0.0875  0.0000  0.3229 (multiplicity 4)
Au  0.2150  0.3804  0.1130 (multiplicity 8)



Entry 2:
Entry from Alexandria: an optimized crystal structure of Mg4Sn2Au (GGA-PBE).

abc: 8.1512 8.5895 4.6367
angles: 90.00 90.00 90.00
Space group Cmmm (No. 65)
One atom of each set of equivalent atoms:
Mg  0.1904  0.0000  0.0000 (multiplicity 4)
Mg  0.2500  0.2500  0.5000 (multiplicity 4)
Sn  0.0000  0.3159  0.0000 (multiplicity 4)
Au  0.0000  0.0000  0.5000 (multiplicity 2)



Entry 3:
Entry from Alexandria: an optimized crystal structure of MgSnAu3 (GGA-PBE).

abc: 4.9587 4.9587 4.9587
angles: 90.00 90.00 90.00
Space group Pm-3m (No. 221)
One atom of each set of equivalent atoms:
Mg  0.0000  0.0000  0.0000 (multiplicity 1)
Sn  0.5000  0.5000  0.5000 (multiplicity 1)
Au  0.0000  0.0000  0.5000 (multiplicity 3)



Entry 4:
Entry from Alexandria: an optimized crystal structure of Sr2MgSn4Au3 (GGA-PBE).

abc: 4.6618 4.6618 12.0027
angles: 90.00 90.00 90.00
Space group P-4m2 (No. 115)
One atom of each set of equivalent atoms:
Sr  0.0000  0.5000  0.2499 (multiplicity 2)
Mg  0.0000  0.0000  0.5000 (multiplicity 1)
Sn  0.0000  0.0000  0.0000 (multiplicity 1)
Sn  0.0000  0.5000  0.6380 (multiplicity 2)
Sn  0.5000  0.5000  0.0000 (multiplicity 1)
Au  0.0000  0.5000  0.8626 (multiplicity 2)
Au  0.5000  0.5000  0.5000 (multiplicity 1)



The following theoretical density values (in g/cm³) correspond, in order, to the records above: 13.43; 5.44; 10.00; 8.05.
The following density of states at the Fermi level values (in states/eV per cell) correspond, in order, to the records above: 5.2; 6.5; 1.6; 4.4.
The following formation enthalpy at 0 K values (in eV/atom) correspond, in order, to the records above: -0.253; -0.221; 0.261; -0.549.